1.
Here is an optimized crystal structure of RbInI2Cl from Alexandria. Energies are from PBE-GGA.

Cell and atoms, written as POSCAR:
```
RbInI2Cl
1.0
6.1414 0.0000 0.0000
0.0000 6.1414 0.0000
0.0000 0.0000 5.4702
Rb In I Cl
1 1 2 1
direct
0.0000 0.0000 0.0000 Rb
0.5000 0.5000 0.5000 In
0.0000 0.5000 0.5000 I
0.5000 0.0000 0.5000 I
0.5000 0.5000 0.0000 Cl
```

Output
The electronic total energy is -13.8 eV/f.u. As for the magnetic moment: 0.0000 μB per atom. The calculation puts the uncorrected formation energy at -494 kJ/mol of formula units. The density of states at the Fermi level is 1.49 states/eV/f.u.

***

2.
Here is an optimized crystal structure of Rb2InICl6 from Alexandria. Energies are from PBE-GGA.

Cell and atoms, written as POSCAR:
```
Rb2InICl6
1.0
-4.2217 4.2217 5.3016
4.2217 -4.2217 5.3016
4.2217 4.2217 -5.3016
Rb In I Cl
2 1 1 6
direct
0.2500 0.7500 0.5000 Rb
0.7500 0.2500 0.5000 Rb
0.0000 0.0000 0.0000 In
0.5000 0.5000 0.0000 I
0.2077 0.2077 0.4154 Cl
0.2077 0.7923 0.0000 Cl
0.2594 0.2594 0.0000 Cl
0.7406 0.7406 0.0000 Cl
0.7923 0.2077 0.0000 Cl
0.7923 0.7923 0.5846 Cl
```

Output
The electronic total energy is -29.1 eV/f.u. As for the magnetic moment: 0.0000 μB per atom. The calculation puts the uncorrected formation energy at -1141 kJ/mol of formula units. The density of states at the Fermi level is 0.00 states/eV/f.u.

***

Question: Which formula does entry 1 have?
Answer: RbInI2Cl

***

Question: Which of these has the lowest electronic total energy?
Answer: Rb2InICl6

***

Question: Look up the electronic total energy of the second one.
Answer: -29.1 eV/f.u.